# Sc2VF (PBE+U, optimized geometry)
# **Total magnetization**: 4.9 μB per formula unit
# **SG**: Fm-3m
# **Calculated density**: 3.376 g/cm³
# **Total energy**: -5.486 eV/atom
data_Sc2VF
_chemical_formula_sum 'Sc2 V1 F1'
_cell_length_a 4.809
_cell_length_b 4.809
_cell_length_c 4.809
_cell_angle_alpha 60.00
_cell_angle_beta 60.00
_cell_angle_gamma 60.00
_symmetry_space_group_name_H-M 'P 1'
_symmetry_Int_Tables_number 1
loop_
_symmetry_equiv_pos_as_xyz
'x,y,z'
loop_
_atom_site_label
_atom_site_type_symbol
_atom_site_fract_x
_atom_site_fract_y
_atom_site_fract_z
Sc1 Sc 0.250 0.250 0.250
Sc2 Sc 0.750 0.750 0.750
V1 V 0.000 0.000 0.000
F1 F 0.500 0.500 0.500